Record 1
Material: LiTcSb4
Method: DFT, PBE-GGA
State: relaxed

Output
Space group: No. 216
Formation energy from raw total energies: 0.7256 eV/atom
Size of the total moment: 4.2 μB per cell
Distance to the lowest polymorph of the same formula: 869 meV per atom

The structure in POSCAR format:
```
LiTcSb4
1.0
0.0000 4.3685 4.3685
4.3685 0.0000 4.3685
4.3685 4.3685 0.0000
Li Tc Sb
1 1 4
Direct
0.0000 0.0000 0.0000 Li
0.2500 0.2500 0.2500 Tc
0.1255 0.6248 0.6248 Sb
0.6248 0.1255 0.6248 Sb
0.6248 0.6248 0.1255 Sb
0.6248 0.6248 0.6248 Sb
```

=====

Record 2
Material: Li3TcSb
Method: DFT, PBE-GGA
State: relaxed

Output
Space group: No. 221
Formation energy from raw total energies: 0.7468 eV/atom
Size of the total moment: 4.6 μB per cell
Distance to the lowest polymorph of the same formula: 0 meV per atom

The structure in POSCAR format:
```
Li3TcSb
1.0
5.0258 0.0000 0.0000
0.0000 5.0258 0.0000
0.0000 0.0000 5.0258
Li Tc Sb
3 1 1
Direct
0.0000 0.0000 0.5000 Li
0.0000 0.5000 0.0000 Li
0.5000 0.0000 0.0000 Li
0.5000 0.5000 0.5000 Tc
0.0000 0.0000 0.0000 Sb
```

=====

Record 3
Material: LiTcSb4
Method: DFT, PBE-GGA
State: relaxed

Output
Space group: No. 140
Formation energy from raw total energies: -0.1437 eV/atom
Size of the total moment: 0.0 μB per cell
Distance to the lowest polymorph of the same formula: 0 meV per atom

The structure in POSCAR format:
```
LiTcSb4
1.0
-3.2745 3.2745 6.2600
3.2745 -3.2745 6.2600
3.2745 3.2745 -6.2600
Li Tc Sb
2 2 8
Direct
0.0000 0.0000 0.0000 Li
0.5000 0.5000 0.0000 Li
0.2500 0.2500 0.0000 Tc
0.7500 0.7500 0.0000 Tc
0.0217 0.5217 0.8212 Sb
0.2006 0.0217 0.5000 Sb
0.2994 0.7994 0.8212 Sb
0.4783 0.2994 0.5000 Sb
0.5217 0.7006 0.5000 Sb
0.7006 0.2006 0.1788 Sb
0.7994 0.9783 0.5000 Sb
0.9783 0.4783 0.1788 Sb
```

=====

Record 4
Material: Li2TcSb2
Method: DFT, PBE-GGA
State: relaxed

Output
Space group: No. 127
Formation energy from raw total energies: -0.1284 eV/atom
Size of the total moment: 0.0 μB per cell

The structure in POSCAR format:
```
Li2TcSb2
1.0
6.9688 0.0000 0.0000
0.0000 6.9688 0.0000
0.0000 0.0000 3.9971
Li Tc Sb
4 2 4
Direct
0.1587 0.3413 0.0000 Li
0.3413 0.8413 0.0000 Li
0.6587 0.1587 0.0000 Li
0.8413 0.6587 0.0000 Li
0.0000 0.0000 0.5000 Tc
0.5000 0.5000 0.5000 Tc
0.1503 0.6503 0.5000 Sb
0.3497 0.1503 0.5000 Sb
0.6503 0.8497 0.5000 Sb
0.8497 0.3497 0.5000 Sb
```

=====

Number 3 is which compound?
LiTcSb4

=====

The highest size of the total moment belongs to which entry?
Li3TcSb